A geometry-optimized Ti2RhSeBr structure, computed with PBE.

a = 4.817 Å, b = 4.817 Å, c = 4.576 Å
α = 90.00°, β = 90.00°, γ = 90.00°
Space group P4/mmm (No. 123)
Asymmetric unit:
Ti 0.000 0.500 0.000 x2
Rh 0.000 0.000 0.500 x1
Se 0.000 0.000 0.000 x1
Br 0.500 0.500 0.500 x1

Mass density, g/cm3: 5.6

A geometry-optimized ErThZr structure, computed with PBE.

a = 7.989 Å, b = 9.086 Å, c = 5.591 Å
α = 90.00°, β = 90.00°, γ = 90.00°
Space group Cmmm (No. 65)
Asymmetric unit:
Er 0.000 0.000 0.000 x2
Er 0.000 0.500 0.500 x2
Th 0.000 0.178 0.500 x4
Zr 0.164 0.500 0.000 x4

Mass density, g/cm3: 8.0
Excess energy over the best structure of this formula in the dataset, eV per atom: 1.010
DFT formation energy, meV per atom: 1097

The E_tot results, record by record, are as follows: -5.456, -5.746 eV per atom.